Entry 1:
NpMnSb2: optimized geometry, PBE-GGA.

The energy relative to the elements, uncorrected is 38 meV/atom. The symmetry is R-3m (166). The crystal system is trigonal.

POSCAR file:
```
NpMnSb2
1.0
2.342 1.352 5.006
-2.342 1.352 5.006
0.000 -2.704 5.006
Np Mn Sb
1 1 2
direct
0.000 0.000 0.000
0.500 0.500 0.500
0.231 0.231 0.231
0.769 0.769 0.769
```

Entry 2:
ZnIr2Os: optimized geometry, PBE-GGA.

Its energy relative to the elements is 245 meV per atom. The symmetry is Immm (71). The crystal system is orthorhombic.

POSCAR file:
```
ZnIr2Os
1.0
-1.447 2.254 4.386
1.447 -2.254 4.386
1.447 2.254 -4.386
Zn Ir Os
1 2 1
direct
0.000 0.000 0.000
0.237 0.737 0.500
0.763 0.263 0.500
0.500 0.500 0.000
```

Entry 3:
NaMg2TcH8: optimized geometry, PBE-GGA.

The symmetry is P-3m1 (164). The total DFT energy (no corrections) is -3.462 eV per atom. The crystal system is trigonal.

POSCAR file:
```
NaMg2TcH8
1.0
4.734 0.000 0.000
-2.367 4.100 0.000
0.000 0.000 6.324
Na Mg Tc H
1 2 1 8
direct
0.000 0.000 0.000
0.333 0.667 0.359
0.667 0.333 0.641
0.000 0.000 0.500
0.176 0.352 0.656
0.176 0.824 0.656
0.333 0.667 0.062
0.352 0.176 0.344
0.648 0.824 0.656
0.667 0.333 0.938
0.824 0.176 0.344
0.824 0.648 0.344
```

Entry 4:
NaHg2W: optimized geometry, PBE-GGA.

The calculation puts the energy relative to the lowest polymorph listed for this composition at 380 meV/atom. Its energy relative to the elements is 1186 meV per atom. The symmetry is I-42d (122). The crystal system is tetragonal.

POSCAR file:
```
NaHg2W
1.0
-2.323 2.323 9.426
2.323 -2.323 9.426
2.323 2.323 -9.426
Na Hg W
2 4 2
direct
0.000 0.000 0.000
0.750 0.250 0.500
0.157 0.625 0.032
0.375 0.407 0.532
0.593 0.125 0.968
0.875 0.843 0.468
0.250 0.750 0.500
0.500 0.500 0.000
```

Entry 5:
AlAsSe2: optimized geometry, PBE-GGA.

The calculation puts the energy relative to the lowest polymorph listed for this composition at 665 meV/atom. The energy relative to the elements, uncorrected is 353 meV/atom. The symmetry is F-43m (216). The crystal system is cubic.

POSCAR file:
```
AlAsSe2
1.0
0.000 3.390 3.390
3.390 0.000 3.390
3.390 3.390 0.000
Al As Se
1 1 2
direct
0.000 0.000 0.000
0.250 0.250 0.250
0.500 0.500 0.500
0.750 0.750 0.750
```

Entry 6:
Ba4SnTeBr2: optimized geometry, PBE-GGA.

The energy relative to the elements, uncorrected is -1469 meV/atom. The symmetry is P2/m (10). The crystal system is monoclinic.

POSCAR file:
```
Ba4SnTeBr2
1.0
8.478 0.000 0.000
0.000 5.020 0.000
-3.005 0.000 8.212
Ba Sn Te Br
4 1 1 2
direct
0.234 0.000 0.256
0.236 0.500 0.738
0.764 0.500 0.262
0.766 0.000 0.744
0.000 0.000 0.500
0.000 0.500 0.000
0.500 0.000 0.000
0.500 0.500 0.500
```

Entry 7:
LiTb2HoHg4: optimized geometry, PBE-GGA.

Its energy relative to the elements is -459 meV per atom. The symmetry is R-3m (166). The crystal system is trigonal.

POSCAR file:
```
LiTb2HoHg4
1.0
2.578 1.488 8.512
-2.578 1.488 8.512
0.000 -2.977 8.512
Li Tb Ho Hg
1 2 1 4
direct
0.000 0.000 0.000
0.254 0.254 0.254
0.746 0.746 0.746
0.500 0.500 0.500
0.124 0.124 0.124
0.375 0.375 0.375
0.625 0.625 0.625
0.876 0.876 0.876
```

Entry 8:
Nb2ReRh: optimized geometry, PBE-GGA.

Its energy relative to the elements is 315 meV per atom. The symmetry is R-3m (166). The crystal system is trigonal.

POSCAR file:
```
Nb2ReRh
1.0
1.408 0.813 9.848
-1.408 0.813 9.848
0.000 -1.626 9.848
Nb Re Rh
2 1 1
direct
0.089 0.089 0.089
0.911 0.911 0.911
0.000 0.000 0.000
0.500 0.500 0.500
```

Entry 9:
KBaNb: optimized geometry, PBE-GGA.

The calculation puts the energy relative to the lowest polymorph listed for this composition at 221 meV/atom. Its energy relative to the elements is 625 meV per atom. The symmetry is P-1 (2). The crystal system is triclinic.

POSCAR file:
```
KBaNb
1.0
3.603 0.000 0.000
0.703 6.317 0.000
0.462 2.031 11.340
K Ba Nb
2 2 2
direct
0.229 0.285 0.386
0.771 0.715 0.614
0.475 0.849 0.166
0.525 0.151 0.834
0.151 0.627 0.940
0.849 0.373 0.060
```

Entry 10:
Ba2Ge2BiAu6: optimized geometry, PBE-GGA.

Its energy relative to the elements is -344 meV per atom. The symmetry is R-3m (166). The crystal system is trigonal.

POSCAR file:
```
Ba2Ge2BiAu6
1.0
3.449 1.991 8.940
-3.449 1.991 8.940
0.000 -3.983 8.940
Ba Ge Bi Au
2 2 1 6
direct
0.209 0.209 0.209
0.791 0.791 0.791
0.454 0.454 0.454
0.546 0.546 0.546
0.000 0.000 0.000
0.186 0.771 0.771
0.229 0.229 0.814
0.229 0.814 0.229
0.771 0.186 0.771
0.771 0.771 0.186
0.814 0.229 0.229
```

Entry 11:
Ti2Ga2FeNi7: optimized geometry, PBE-GGA.

Its energy relative to the elements is -86 meV per atom. The symmetry is C2/m (12). The crystal system is monoclinic.

POSCAR file:
```
Ti2Ga2FeNi7
1.0
2.355 -2.355 0.000
2.355 2.355 0.000
-2.308 0.000 14.335
Ti Ga Fe Ni
2 2 1 7
direct
0.129 0.129 0.262
0.871 0.871 0.738
0.312 0.312 0.621
0.688 0.688 0.379
0.500 0.500 0.000
0.000 0.000 0.000
0.064 0.564 0.133
0.224 0.224 0.450
0.436 0.936 0.867
0.564 0.064 0.133
0.776 0.776 0.550
0.936 0.436 0.867
```

Entry 12:
Nd2Sn2Pd: optimized geometry, PBE-GGA.

The calculation puts the energy relative to the lowest polymorph listed for this composition at 0 meV/atom. Its energy relative to the elements is -840 meV per atom. The symmetry is C2/m (12). The crystal system is monoclinic.

POSCAR file:
```
Nd2Sn2Pd
1.0
5.663 -2.333 0.000
5.663 2.333 0.000
-5.118 0.000 10.001
Nd Sn Pd
4 4 2
direct
0.007 0.007 0.332
0.183 0.183 0.112
0.817 0.817 0.888
0.993 0.993 0.668
0.349 0.349 0.438
0.472 0.472 0.119
0.528 0.528 0.881
0.651 0.651 0.562
0.282 0.282 0.658
0.718 0.718 0.342
```

Entry 13:
CoCuAu2: optimized geometry, PBE-GGA.

Its energy relative to the elements is 145 meV per atom. The symmetry is Pmmm (47). The crystal system is orthorhombic.

POSCAR file:
```
CoCuAu2
1.0
2.841 0.000 0.000
0.000 3.607 0.000
0.000 0.000 5.832
Co Cu Au
1 1 2
direct
0.000 0.000 0.000
0.000 0.000 0.500
0.500 0.500 0.248
0.500 0.500 0.752
```

Entry 14:
YHoMgSc: optimized geometry, PBE-GGA.

The calculation puts the energy relative to the lowest polymorph listed for this composition at 42 meV/atom. Its energy relative to the elements is 26 meV per atom. The symmetry is F-43m (216). The crystal system is cubic.

POSCAR file:
```
YHoMgSc
1.0
0.000 3.803 3.803
3.803 0.000 3.803
3.803 3.803 0.000
Y Ho Mg Sc
1 1 1 1
direct
0.000 0.000 0.000
0.500 0.500 0.500
0.250 0.250 0.250
0.750 0.750 0.750
```

Entry 15:
Ag2HgPt: optimized geometry, PBE-GGA.

Its energy relative to the elements is 13 meV per atom. The symmetry is C2/m (12). The crystal system is monoclinic.

POSCAR file:
```
Ag2HgPt
1.0
4.942 -1.491 0.000
4.942 1.491 0.000
-0.930 0.000 4.900
Ag Hg Pt
2 1 1
direct
0.244 0.244 0.242
0.756 0.756 0.758
0.000 0.000 0.500
0.500 0.500 0.000
```

Entry 16:
Ac5Pm2Dy: optimized geometry, PBE-GGA.

Its energy relative to the elements is 40 meV per atom. The symmetry is Pbam (55). The crystal system is orthorhombic.

POSCAR file:
```
Ac5Pm2Dy
1.0
7.636 0.000 0.000
0.000 15.304 0.000
0.000 0.000 5.518
Ac Pm Dy
10 4 2
direct
0.000 0.000 0.000
0.012 0.255 0.000
0.240 0.621 0.500
0.260 0.121 0.500
0.488 0.755 0.000
0.500 0.500 0.000
0.512 0.245 0.000
0.740 0.879 0.500
0.760 0.379 0.500
0.988 0.745 0.000
0.243 0.876 0.500
0.257 0.376 0.500
0.743 0.624 0.500
0.757 0.124 0.500
0.000 0.500 0.000
0.500 0.000 0.000
```

Entry 17:
Ce3Ga2Os: optimized geometry, PBE-GGA.

The calculation puts the energy relative to the lowest polymorph listed for this composition at 0 meV/atom. Its energy relative to the elements is -422 meV per atom. The symmetry is Pnma (62). The crystal system is orthorhombic.

POSCAR file:
```
Ce3Ga2Os
1.0
12.572 0.000 0.000
0.000 4.612 0.000
0.000 0.000 9.161
Ce Ga Os
12 8 4
direct
0.047 0.250 0.099
0.145 0.750 0.596
0.245 0.750 0.271
0.255 0.250 0.771
0.355 0.250 0.096
0.453 0.750 0.599
0.547 0.250 0.401
0.645 0.750 0.904
0.745 0.750 0.229
0.755 0.250 0.729
0.855 0.250 0.404
0.953 0.750 0.901
0.002 0.750 0.328
0.189 0.750 0.958
0.311 0.250 0.458
0.498 0.250 0.828
0.502 0.750 0.172
0.689 0.750 0.542
0.811 0.250 0.042
0.998 0.250 0.672
0.110 0.250 0.381
0.390 0.750 0.881
0.610 0.250 0.119
0.890 0.750 0.619
```

Entry 18:
Ba2TePd: optimized geometry, PBE-GGA.

The energy relative to the elements, uncorrected is -997 meV/atom. The symmetry is P4/mmm (123). The crystal system is tetragonal.

POSCAR file:
```
Ba2TePd
1.0
5.783 0.000 0.000
0.000 5.783 0.000
0.000 0.000 4.150
Ba Te Pd
2 1 1
direct
0.000 0.500 0.000
0.500 0.000 0.000
0.000 0.000 0.500
0.500 0.500 0.500
```

Entry 19:
Be2AgHg: optimized geometry, PBE-GGA.

Its energy relative to the elements is 459 meV per atom. The symmetry is R3m (160). The crystal system is trigonal.

POSCAR file:
```
Be2AgHg
1.0
1.439 0.831 8.404
-1.439 0.831 8.404
0.000 -1.662 8.404
Be Ag Hg
2 1 1
direct
0.000 0.000 0.000
0.272 0.272 0.272
0.528 0.528 0.528
0.755 0.755 0.755
```

Entry 20:
TiMnPd4: optimized geometry, PBE-GGA.

The calculation puts the energy relative to the lowest polymorph listed for this composition at 0 meV/atom. Its energy relative to the elements is -437 meV per atom. The symmetry is C2/m (12). The crystal system is monoclinic.

POSCAR file:
```
TiMnPd4
1.0
4.569 -1.826 0.000
4.569 1.826 0.000
-1.834 0.000 5.455
Ti Mn Pd
1 1 4
direct
0.000 0.000 0.000
0.000 0.000 0.500
0.340 0.340 0.170
0.341 0.341 0.673
0.659 0.659 0.327
0.660 0.660 0.830
```

Entry 21:
Zn3GaF: optimized geometry, PBE-GGA.

The calculation puts the energy relative to the lowest polymorph listed for this composition at 0 meV/atom. The energy relative to the elements, uncorrected is -175 meV/atom. The symmetry is Pm-3m (221). The crystal system is cubic.

POSCAR file:
```
Zn3GaF
1.0
4.744 0.000 0.000
0.000 4.744 0.000
0.000 0.000 4.744
Zn Ga F
3 1 1
direct
0.000 0.000 0.500
0.000 0.500 0.000
0.500 0.000 0.000
0.000 0.000 0.000
0.500 0.500 0.500
```

Entry 22:
CaAc5Sn4: optimized geometry, PBE-GGA.

Its energy relative to the elements is -530 meV per atom. The symmetry is C2/m (12). The crystal system is monoclinic.

POSCAR file:
```
CaAc5Sn4
1.0
8.779 -2.835 0.000
8.779 2.835 0.000
-0.187 0.000 7.832
Ca Ac Sn
1 5 4
direct
0.000 0.000 0.000
0.000 0.000 0.500
0.334 0.334 0.494
0.340 0.340 0.007
0.660 0.660 0.993
0.666 0.666 0.506
0.177 0.177 0.752
0.492 0.492 0.755
0.508 0.508 0.245
0.823 0.823 0.248
```

Entry 23:
AcLa7Nd2: optimized geometry, PBE-GGA.

The calculation puts the energy relative to the lowest polymorph listed for this composition at 0 meV/atom. Its energy relative to the elements is 55 meV per atom. The symmetry is P-1 (2). The crystal system is triclinic.

POSCAR file:
```
AcLa7Nd2
1.0
6.810 0.000 0.000
0.819 6.853 0.000
2.770 2.283 8.060
Ac La Nd
1 7 2
direct
0.000 0.000 0.000
0.000 0.000 0.500
0.200 0.588 0.769
0.231 0.542 0.342
0.425 0.243 0.063
0.575 0.757 0.937
0.769 0.458 0.658
0.800 0.412 0.231
0.436 0.135 0.637
0.564 0.865 0.363
```

Entry 24:
La2CoSb: optimized geometry, PBE-GGA.

The calculation puts the energy relative to the lowest polymorph listed for this composition at 525 meV/atom. The energy relative to the elements, uncorrected is -24 meV/atom. The symmetry is F-43m (216). The crystal system is cubic.

POSCAR file:
```
La2CoSb
1.0
0.000 3.643 3.643
3.643 0.000 3.643
3.643 3.643 0.000
La Co Sb
2 1 1
direct
0.000 0.000 0.000
0.250 0.250 0.250
0.500 0.500 0.500
0.750 0.750 0.750
```

Entry 25:
RbBIO2: optimized geometry, PBE-GGA.

The calculation puts the energy relative to the lowest polymorph listed for this composition at 0 meV/atom. The energy relative to the elements, uncorrected is 483 meV/atom. The symmetry is P4/mmm (123). The crystal system is tetragonal.

POSCAR file:
```
RbBIO2
1.0
4.320 0.000 0.000
0.000 4.320 0.000
0.000 0.000 4.664
Rb B I O
1 1 1 2
direct
0.000 0.000 0.000
0.500 0.500 0.500
0.500 0.500 0.000
0.000 0.500 0.500
0.500 0.000 0.500
```